(1)
Here is a relaxed Th3CdPt12 crystal from Alexandria via LeMat-Bulk. Energies are from PBE.

Results
calculated formation energy	-0.90	eV per atom
Fermi-level density of states	6.1	states/eV/cell
E_tot	-6.880	eV per atom

CIF file:
```
data_Th3CdPt12
_chemical_formula_sum 'Th3 Cd1 Pt12'
_space_group_name_H-M_alt 'P 1'
_space_group_IT_number 1
_cell_length_a 4.206
_cell_length_b 4.206
_cell_length_c 16.640
_cell_angle_alpha 90.00
_cell_angle_beta 90.00
_cell_angle_gamma 90.00
loop_
_space_group_symop_operation_xyz
'x,y,z'
loop_
_atom_site_label
_atom_site_type_symbol
_atom_site_fract_x
_atom_site_fract_y
_atom_site_fract_z
Th1 Th 0.000 0.000 0.000
Th2 Th 0.000 0.000 0.259
Th3 Th 0.000 0.000 0.741
Cd1 Cd 0.000 0.000 0.500
Pt1 Pt 0.000 0.500 0.127
Pt2 Pt 0.000 0.500 0.381
Pt3 Pt 0.000 0.500 0.619
Pt4 Pt 0.000 0.500 0.873
Pt5 Pt 0.500 0.000 0.127
Pt6 Pt 0.500 0.000 0.381
Pt7 Pt 0.500 0.000 0.619
Pt8 Pt 0.500 0.000 0.873
Pt9 Pt 0.500 0.500 0.000
Pt10 Pt 0.500 0.500 0.254
Pt11 Pt 0.500 0.500 0.500
Pt12 Pt 0.500 0.500 0.746
```



(2)
Here is a relaxed ScTl2Se2 crystal from Alexandria via LeMat-Bulk. Energies are from PBE.

Results
offset from the most stable computed form	0.277	eV/atom
Fermi-level density of states	3.3	states/eV/cell
formation energy without anion corrections	-0.65	eV per atom
E_tot	-4.261	eV per atom

CIF file:
```
data_ScTl2Se2
_chemical_formula_sum 'Sc2 Tl4 Se4'
_space_group_name_H-M_alt 'P 1'
_space_group_IT_number 1
_cell_length_a 7.233
_cell_length_b 7.233
_cell_length_c 5.294
_cell_angle_alpha 90.00
_cell_angle_beta 90.00
_cell_angle_gamma 90.00
loop_
_space_group_symop_operation_xyz
'x,y,z'
loop_
_atom_site_label
_atom_site_type_symbol
_atom_site_fract_x
_atom_site_fract_y
_atom_site_fract_z
Sc1 Sc 0.000 0.000 0.000
Sc2 Sc 0.500 0.500 0.000
Tl1 Tl 0.161 0.339 0.500
Tl2 Tl 0.339 0.839 0.500
Tl3 Tl 0.661 0.161 0.500
Tl4 Tl 0.839 0.661 0.500
Se1 Se 0.174 0.674 0.000
Se2 Se 0.326 0.174 0.000
Se3 Se 0.674 0.826 0.000
Se4 Se 0.826 0.326 0.000
```



(3)
Here is a relaxed U2PtS4Cl crystal from Alexandria via LeMat-Bulk. Energies are from PBE.

Results
Fermi-level density of states	13.6	states/eV/cell
formation energy without anion corrections	-1.01	eV per atom
E_tot	-6.877	eV per atom

CIF file:
```
data_U2PtS4Cl
_chemical_formula_sum 'U2 Pt1 S4 Cl1'
_space_group_name_H-M_alt 'P 1'
_space_group_IT_number 1
_cell_length_a 5.969
_cell_length_b 5.969
_cell_length_c 8.975
_cell_angle_alpha 115.77
_cell_angle_beta 115.77
_cell_angle_gamma 38.54
loop_
_space_group_symop_operation_xyz
'x,y,z'
loop_
_atom_site_label
_atom_site_type_symbol
_atom_site_fract_x
_atom_site_fract_y
_atom_site_fract_z
U1 U 0.199 0.199 0.274
U2 U 0.801 0.801 0.726
Pt1 Pt 0.000 0.000 0.500
S1 S 0.169 0.169 0.790
S2 S 0.381 0.381 0.588
S3 S 0.619 0.619 0.412
S4 S 0.831 0.831 0.210
Cl1 Cl 0.500 0.500 0.000
```



(4)
Here is a relaxed Cs3TiS crystal from Alexandria via LeMat-Bulk. Energies are from PBE.

Results
offset from the most stable computed form	0.000	eV/atom
Fermi-level density of states	31.7	states/eV/cell
formation energy without anion corrections	0.24	eV per atom
E_tot	-2.673	eV per atom

CIF file:
```
data_Cs3TiS
_chemical_formula_sum 'Cs3 Ti1 S1'
_space_group_name_H-M_alt 'P 1'
_space_group_IT_number 1
_cell_length_a 6.802
_cell_length_b 6.802
_cell_length_c 6.802
_cell_angle_alpha 90.00
_cell_angle_beta 90.00
_cell_angle_gamma 90.00
loop_
_space_group_symop_operation_xyz
'x,y,z'
loop_
_atom_site_label
_atom_site_type_symbol
_atom_site_fract_x
_atom_site_fract_y
_atom_site_fract_z
Cs1 Cs 0.000 0.000 0.500
Cs2 Cs 0.000 0.500 0.000
Cs3 Cs 0.500 0.000 0.000
Ti1 Ti 0.500 0.500 0.500
S1 S 0.000 0.000 0.000
```



(5)
Here is a relaxed NaVRuW2 crystal from Alexandria via LeMat-Bulk. Energies are from PBE.

Results
calculated formation energy	2.04	eV per atom
Fermi-level density of states	10.2	states/eV/cell
E_tot	-7.089	eV per atom

CIF file:
```
data_NaVRuW2
_chemical_formula_sum 'Na1 V1 Ru1 W2'
_space_group_name_H-M_alt 'P 1'
_space_group_IT_number 1
_cell_length_a 4.687
_cell_length_b 4.687
_cell_length_c 4.751
_cell_angle_alpha 90.00
_cell_angle_beta 90.00
_cell_angle_gamma 90.00
loop_
_space_group_symop_operation_xyz
'x,y,z'
loop_
_atom_site_label
_atom_site_type_symbol
_atom_site_fract_x
_atom_site_fract_y
_atom_site_fract_z
Na1 Na 0.000 0.000 0.000
V1 V 0.500 0.500 0.000
Ru1 Ru 0.000 0.000 0.500
W1 W 0.000 0.500 0.500
W2 W 0.500 0.000 0.500
```



(6)
Here is a relaxed Mg6TiH16 crystal from Alexandria via LeMat-Bulk. Energies are from PBE.

Results
Fermi-level density of states	7.9	states/eV/cell
E_tot	-3.185	eV per atom

CIF file:
```
data_Mg6TiH16
_chemical_formula_sum 'Mg6 Ti1 H16'
_space_group_name_H-M_alt 'P 1'
_space_group_IT_number 1
_cell_length_a 6.661
_cell_length_b 6.661
_cell_length_c 6.661
_cell_angle_alpha 60.00
_cell_angle_beta 60.00
_cell_angle_gamma 60.00
loop_
_space_group_symop_operation_xyz
'x,y,z'
loop_
_atom_site_label
_atom_site_type_symbol
_atom_site_fract_x
_atom_site_fract_y
_atom_site_fract_z
Mg1 Mg 0.000 0.000 0.500
Mg2 Mg 0.000 0.500 0.000
Mg3 Mg 0.000 0.500 0.500
Mg4 Mg 0.500 0.000 0.000
Mg5 Mg 0.500 0.000 0.500
Mg6 Mg 0.500 0.500 0.000
Ti1 Ti 0.000 0.000 0.000
H1 H 0.072 0.643 0.643
H2 H 0.113 0.113 0.113
H3 H 0.113 0.113 0.660
H4 H 0.113 0.660 0.113
H5 H 0.340 0.887 0.887
H6 H 0.357 0.357 0.357
H7 H 0.357 0.357 0.928
H8 H 0.357 0.928 0.357
H9 H 0.643 0.072 0.643
H10 H 0.643 0.643 0.072
H11 H 0.643 0.643 0.643
H12 H 0.660 0.113 0.113
H13 H 0.887 0.340 0.887
H14 H 0.887 0.887 0.340
H15 H 0.887 0.887 0.887
H16 H 0.928 0.357 0.357
```



(7)
Here is a relaxed Cs2Tl2Hg4Pd crystal from Alexandria via LeMat-Bulk. Energies are from PBE.

Results
calculated formation energy	-0.15	eV per atom
Fermi-level density of states	4.2	states/eV/cell
E_tot	-1.577	eV per atom

CIF file:
```
data_Cs2Tl2Hg4Pd
_chemical_formula_sum 'Cs2 Tl2 Hg4 Pd1'
_space_group_name_H-M_alt 'P 1'
_space_group_IT_number 1
_cell_length_a 7.358
_cell_length_b 7.358
_cell_length_c 7.358
_cell_angle_alpha 113.30
_cell_angle_beta 113.30
_cell_angle_gamma 102.06
loop_
_space_group_symop_operation_xyz
'x,y,z'
loop_
_atom_site_label
_atom_site_type_symbol
_atom_site_fract_x
_atom_site_fract_y
_atom_site_fract_z
Cs1 Cs 0.250 0.750 0.500
Cs2 Cs 0.750 0.250 0.500
Tl1 Tl 0.186 0.186 0.000
Tl2 Tl 0.814 0.814 0.000
Hg1 Hg 0.256 0.256 0.513
Hg2 Hg 0.256 0.744 0.000
Hg3 Hg 0.744 0.256 0.000
Hg4 Hg 0.744 0.744 0.487
Pd1 Pd 0.500 0.500 0.000
```



(8)
Here is a relaxed CeThPa4 crystal from Alexandria via LeMat-Bulk. Energies are from PBE.

Results
calculated formation energy	0.14	eV per atom
Fermi-level density of states	16.4	states/eV/cell
E_tot	-8.419	eV per atom

CIF file:
```
data_CeThPa4
_chemical_formula_sum 'Ce1 Th1 Pa4'
_space_group_name_H-M_alt 'P 1'
_space_group_IT_number 1
_cell_length_a 6.105
_cell_length_b 6.105
_cell_length_c 6.105
_cell_angle_alpha 60.00
_cell_angle_beta 60.00
_cell_angle_gamma 60.00
loop_
_space_group_symop_operation_xyz
'x,y,z'
loop_
_atom_site_label
_atom_site_type_symbol
_atom_site_fract_x
_atom_site_fract_y
_atom_site_fract_z
Ce1 Ce 0.000 0.000 0.000
Th1 Th 0.750 0.750 0.750
Pa1 Pa 0.375 0.375 0.375
Pa2 Pa 0.375 0.375 0.874
Pa3 Pa 0.375 0.874 0.375
Pa4 Pa 0.874 0.375 0.375
```



(9)
Here is a relaxed AcHoCd2 crystal from Alexandria via LeMat-Bulk. Energies are from PBE.

Results
offset from the most stable computed form	0.000	eV/atom
calculated formation energy	-0.29	eV per atom
Fermi-level density of states	4.4	states/eV/cell
E_tot	-2.916	eV per atom

CIF file:
```
data_AcHoCd2
_chemical_formula_sum 'Ac1 Ho1 Cd2'
_space_group_name_H-M_alt 'P 1'
_space_group_IT_number 1
_cell_length_a 3.843
_cell_length_b 3.843
_cell_length_c 8.029
_cell_angle_alpha 90.00
_cell_angle_beta 90.00
_cell_angle_gamma 90.00
loop_
_space_group_symop_operation_xyz
'x,y,z'
loop_
_atom_site_label
_atom_site_type_symbol
_atom_site_fract_x
_atom_site_fract_y
_atom_site_fract_z
Ac1 Ac 0.000 0.000 0.000
Ho1 Ho 0.000 0.000 0.500
Cd1 Cd 0.500 0.500 0.287
Cd2 Cd 0.500 0.500 0.713
```



- Among the records above, which one has the highest E_tot?
  Cs2Tl2Hg4Pd